(1)
Here is a relaxed KSr2LaRe crystal from the Alexandria database. Energies are from PBE.

Properties
- size of the total moment (μB per atom) = 0.1363
- formation energy from the elements (eV/atom) = 1.60

Cell and atoms, written as CIF:
```
data_KSr2LaRe
_chemical_formula_sum 'K1 Sr2 La1 Re1'
_space_group_name_H-M_alt 'P 4/m m m'
_space_group_IT_number 123
_space_group_name_Hall '-P 4 2'
_cell_length_a 5.812
_cell_length_b 5.812
_cell_length_c 5.200
_cell_angle_alpha 90.00
_cell_angle_beta 90.00
_cell_angle_gamma 90.00
loop_
_atom_site_label
_atom_site_fract_x
_atom_site_fract_y
_atom_site_fract_z
_atom_site_occupancy
K1 0.000 0.000 0.000 1
Sr1 0.000 0.500 0.000 1
La1 0.500 0.500 0.500 1
Re1 0.000 0.000 0.500 1
```

---

(2)
Here is a relaxed K3NaMg2H9 crystal from the Alexandria database. Energies are from PBE.

Properties
- DFT total energy (eV/atom) = -2.649
- size of the total moment (μB per atom) = 0.0003

Cell and atoms, written as CIF:
```
data_K3NaMg2H9
_chemical_formula_sum 'K3 Na1 Mg2 H9'
_space_group_name_H-M_alt 'P -3 m 1'
_space_group_IT_number 164
_space_group_name_Hall '-P 3 2"'
_cell_length_a 5.8017
_cell_length_b 5.8017
_cell_length_c 7.1535
_cell_angle_alpha 90.00
_cell_angle_beta 90.00
_cell_angle_gamma 120.00
loop_
_atom_site_label
_atom_site_fract_x
_atom_site_fract_y
_atom_site_fract_z
_atom_site_occupancy
K1 0.0000 0.0000 0.0000 1
K2 0.3333 0.6667 0.6603 1
Na1 0.0000 0.0000 0.5000 1
Mg1 0.3333 0.6667 0.1611 1
H1 0.0000 0.5000 0.0000 1
H2 0.1760 0.3521 0.3131 1
```